Density functional theory data (GGA+U) for a relaxed MgFe3P3O13 crystal.

Cell lengths 7.4828, 6.2285, 10.0314 Å; angles 90.00, 100.39, 90.00 degrees
Space group P2_1/m (No. 11)
One atom of each set of equivalent atoms:
Mg (0.1378, 0.2500, 0.1867) (multiplicity 2)
Fe (0.1391, 0.2500, 0.8053) (multiplicity 2)
Fe (0.2787, 0.7500, 0.4353) (multiplicity 2)
Fe (0.5000, 0.0000, 0.0000) (multiplicity 2)
P (0.1817, 0.7500, 0.1064) (multiplicity 2)
P (0.2330, 0.7500, 0.7670) (multiplicity 2)
P (0.2767, 0.2500, 0.5066) (multiplicity 2)
O (0.0129, 0.2500, 0.9800) (multiplicity 2)
O (0.1109, 0.5603, 0.7954) (multiplicity 4)
O (0.1291, 0.7500, 0.2497) (multiplicity 2)
O (0.1493, 0.2500, 0.6095) (multiplicity 2)
O (0.2376, 0.0602, 0.4040) (multiplicity 4)
O (0.2799, 0.7500, 0.6263) (multiplicity 2)
O (0.2888, 0.5393, 0.0949) (multiplicity 4)
O (0.3839, 0.2500, 0.9013) (multiplicity 2)
O (0.4143, 0.7500, 0.8735) (multiplicity 2)
O (0.4746, 0.2500, 0.5832) (multiplicity 2)

- Volume: 459.9 Å³/cell
- VASP energy: -6.789 eV/atom
- Crystal system: monoclinic